VASP calculation (PBE with a Hubbard U) on an optimized crystal structure of SrCoClO2.

Values from the calculation:
For the size of the total moment, the calculation gives 6.00 μB/cell. The total energy comes out at -5.49 eV/atom. The mass density comes out at 4.1 Mg/m³. The calculation puts the calculated volume at 87.2 Å³/f.u.

Structure (CIF):
```
data_SrCoClO2
_cell_length_a 5.2830
_cell_length_b 5.2830
_cell_length_c 9.2921
_cell_angle_alpha 101.42
_cell_angle_beta 101.42
_cell_angle_gamma 43.51
_symmetry_space_group_name_H-M 'P 1'
_symmetry_Int_Tables_number 1
loop_
_symmetry_equiv_pos_as_xyz
'x,y,z'
loop_
_atom_site_label
_atom_site_type_symbol
_atom_site_fract_x
_atom_site_fract_y
_atom_site_fract_z
Sr1 Sr 0.1062 0.1062 0.2900
Sr2 Sr 0.8938 0.8938 0.7100
Co1 Co 0.3626 0.3626 0.9955
Co2 Co 0.6374 0.6374 0.0045
Cl1 Cl 0.1631 0.1631 0.6190
Cl2 Cl 0.8369 0.8369 0.3810
O1 O 0.1809 0.1809 0.0386
O2 O 0.4784 0.4784 0.8486
O3 O 0.5216 0.5216 0.1514
O4 O 0.8191 0.8191 0.9614
```